Compound: KLi2P
Source: the Alexandria database
Functional: PBE
Structure: optimized geometry

Calculated values
Energy relative to the elements = -112 meV/atom
VASP energy = -0.1981 Ry/atom

Cell: 3.163 3.897 7.425 Å, 90.00 90.00 90.00°
Fractional coordinates of all 4 atoms:
K1 0.000 0.000 0.000
Li1 0.500 0.500 0.350
Li2 0.500 0.500 0.650
P1 0.000 0.000 0.500